Record 1
Entry from OQMD: TmThIn after structural relaxation (GGA-PBE).

Structure (extended XYZ):
```
3
Lattice="0.000 3.676 3.676 3.676 0.000 3.676 3.676 3.676 0.000" Properties=species:S:1:pos:R:3 pbc="T T T"
Tm 0.000 0.000 0.000
Th 3.676 3.676 3.676
In 5.514 5.514 5.514
```

Calculated values
Symmetry: F-43m, No. 216
Calculated density, Mg/m³: 8.62
Total energy, eV/atom: -4.783

---

Record 2
Entry from OQMD: YThIn after structural relaxation (GGA-PBE).

Structure (extended XYZ):
```
3
Lattice="0.000 3.699 3.699 3.699 0.000 3.699 3.699 3.699 0.000" Properties=species:S:1:pos:R:3 pbc="T T T"
Y 0.000 0.000 0.000
Th 3.699 3.699 3.699
In 5.549 5.549 5.549
```

Calculated values
Symmetry: F-43m, No. 216
Calculated density, Mg/m³: 7.15
Total energy, eV/atom: -5.478